VASP calculation (GGA-PBE) on a relaxed structure of Dy3Ga3Pt.

abc: 5.7683 5.7683 14.2786
angles: 108.14 108.14 44.11
Element x y z (fractional)
Dy  0.0301  0.0301  0.3807
Dy  0.1065  0.1065  0.9248
Dy  0.2385  0.2385  0.2344
Dy  0.7615  0.7615  0.7656
Dy  0.8935  0.8935  0.0752
Dy  0.9699  0.9699  0.6193
Ga  0.3621  0.3621  0.4641
Ga  0.3905  0.3905  0.9242
Ga  0.4745  0.4745  0.7711
Ga  0.5255  0.5255  0.2289
Ga  0.6095  0.6095  0.0758
Ga  0.6379  0.6379  0.5359
Pt  0.2526  0.2526  0.6143
Pt  0.7474  0.7474  0.3857

Calculated values
- E_form: -19.0 kcal/mol of atoms
- Total DFT energy (no corrections): -69.393 eV for the cell shown
- N(E_F): 0.7311 states/eV/atom


VASP calculation (GGA-PBE) on a relaxed structure of AcErPd2.

abc: 4.1797 4.1797 21.4920
angles: 90.00 90.00 120.00
Element x y z (fractional)
Ac  0.0000  0.0000  0.0000
Ac  0.3333  0.6667  0.6667
Ac  0.6667  0.3333  0.3333
Er  0.0000  0.0000  0.8263
Er  0.3333  0.6667  0.4930
Er  0.6667  0.3333  0.1596
Pd  0.0000  0.0000  0.2368
Pd  0.0000  0.0000  0.4224
Pd  0.3333  0.6667  0.0891
Pd  0.3333  0.6667  0.9035
Pd  0.6667  0.3333  0.5702
Pd  0.6667  0.3333  0.7557

Calculated values
- E_form: -15.7 kcal/mol of atoms
- Relative energy among the computed polymorphs: 0.533 eV per formula unit
- Total DFT energy (no corrections): -65.326 eV for the cell shown
- N(E_F): 0.7878 states/eV/atom


VASP calculation (GGA-PBE) on a relaxed structure of V2CrOsN.

abc: 3.9274 3.9274 3.7949
angles: 90.00 90.00 90.00
Element x y z (fractional)
V  0.0000  0.5000  0.0000
V  0.5000  0.0000  0.0000
Cr  0.0000  0.0000  0.5000
Os  0.5000  0.5000  0.5000
N  0.0000  0.0000  0.0000

Calculated values
- Total DFT energy (no corrections): -49.563 eV for the cell shown
- Formation energy (no corrections): -0.43 eV per atom
- N(E_F): 1.0439 states/eV/atom


VASP calculation (GGA-PBE) on a relaxed structure of Rb3UAu2S6.

abc: 7.5659 7.5659 8.5854
angles: 90.00 90.00 120.00
Element x y z (fractional)
Rb  0.0000  0.0000  0.0000
Rb  0.3333  0.6667  0.6956
Rb  0.6667  0.3333  0.3044
U  0.0000  0.0000  0.5000
Au  0.3333  0.6667  0.3067
Au  0.6667  0.3333  0.6933
S  0.1527  0.3054  0.3120
S  0.1527  0.8473  0.3120
S  0.3054  0.1527  0.6880
S  0.6946  0.8473  0.3120
S  0.8473  0.1527  0.6880
S  0.8473  0.6946  0.6880

Calculated values
- Total DFT energy (no corrections): -55.434 eV for the cell shown
- Formation energy (no corrections): -0.83 eV per atom
- N(E_F): 0.6332 states/eV/atom


VASP calculation (GGA-PBE) on a relaxed structure of LiZn2Mo.

abc: 2.7537 2.7537 27.7597
angles: 90.00 90.00 120.00
Element x y z (fractional)
Li  0.0000  0.0000  0.0000
Li  0.3333  0.6667  0.6667
Li  0.6667  0.3333  0.3333
Zn  0.0000  0.0000  0.2505
Zn  0.0000  0.0000  0.7495
Zn  0.3333  0.6667  0.4162
Zn  0.3333  0.6667  0.9171
Zn  0.6667  0.3333  0.0829
Zn  0.6667  0.3333  0.5838
Mo  0.0000  0.0000  0.5000
Mo  0.3333  0.6667  0.1667
Mo  0.6667  0.3333  0.8333

Calculated values
- E_form: 1.7 kcal/mol of atoms
- Relative energy among the computed polymorphs: 0.346 eV per formula unit
- Total DFT energy (no corrections): -44.999 eV for the cell shown
- N(E_F): 0.5959 states/eV/atom


VASP calculation (GGA-PBE) on a relaxed structure of LaPmY2Ho2.

abc: 6.6698 17.8982 3.3959
angles: 90.00 90.00 90.00
Element x y z (fractional)
La  0.0000  0.0000  0.0000
La  0.5000  0.5000  0.5000
Pm  0.0000  0.5000  0.0000
Pm  0.5000  0.0000  0.5000
Y  0.2237  0.3480  0.5000
Y  0.2763  0.8480  0.0000
Y  0.7237  0.1520  0.0000
Y  0.7763  0.6520  0.5000
Ho  0.2265  0.1819  0.0000
Ho  0.2735  0.6819  0.5000
Ho  0.7265  0.3181  0.5000
Ho  0.7735  0.8181  0.0000

Calculated values
- E_form: 6.6 kcal/mol of atoms
- Total DFT energy (no corrections): -60.079 eV for the cell shown
- N(E_F): 1.7851 states/eV/atom